Record 1
LaVTe2N | Alexandria | PBE-GGA | relaxed; calculated total energy = -25.97 eV for the cell shown; crystal system = tetragonal; offset from the most stable computed form = 1.2108 eV per atom; raw formation energy = 0.538 eV per atom; magnetization = 0.6629 μB per atom
1.0
6.321 0.000 0.000
0.000 6.321 0.000
0.000 0.000 3.989
Te V N La
2 1 1 1
Direct
0.500 0.000 0.000
0.000 0.500 0.000
0.500 0.500 0.500
0.000 0.000 0.500
0.000 0.000 0.000

---

Record 2
KNpRuO6 | Alexandria | PBE-GGA | relaxed; calculated total energy = -140.53 eV for the cell shown; crystal system = orthorhombic; raw formation energy = -1.911 eV per atom; magnetization = 0.0254 μB per atom
1.0
7.820 0.000 0.000
0.000 7.198 0.000
-3.910 -3.599 5.292
O Np Ru K
12 2 2 2
Direct
0.171 0.921 0.341
0.188 0.323 0.741
0.812 0.677 0.259
0.829 0.079 0.659
0.188 0.918 0.741
0.447 0.082 0.259
0.553 0.323 0.741
0.540 0.290 0.081
0.460 0.710 0.919
0.812 0.082 0.259
0.447 0.677 0.259
0.553 0.918 0.741
0.000 0.000 0.500
0.500 0.000 0.500
0.500 0.000 0.000
0.500 0.500 0.000
0.870 0.620 0.741
0.130 0.380 0.259

---

Record 3
K2Se | Alexandria | PBE-GGA | relaxed; calculated total energy = -8.52 eV for the cell shown; crystal system = tetragonal; raw formation energy = -0.948 eV per atom; magnetization = 0.0000 μB per atom
1.0
-4.719 0.032 -3.380
0.665 -2.941 -4.960
0.988 -1.185 5.596
K Se
2 1
Direct
0.346 0.346 0.000
0.654 0.654 0.000
0.000 0.000 0.000

---

Record 4
Pm3PrS6 | Alexandria | PBE-GGA | relaxed; calculated total energy = -128.72 eV for the cell shown; crystal system = monoclinic; raw formation energy = -2.057 eV per atom; magnetization = 0.0000 μB per atom
1.0
4.098 0.000 0.000
0.000 11.316 0.075
0.000 -3.710 11.012
S Pr Pm
12 2 6
Direct
0.750 0.917 0.098
0.250 0.191 0.249
0.250 0.258 0.724
0.750 0.809 0.751
0.750 0.114 0.462
0.250 0.886 0.538
0.750 0.742 0.276
0.250 0.083 0.902
0.750 0.399 0.063
0.250 0.523 0.389
0.250 0.601 0.937
0.750 0.477 0.611
0.250 0.954 0.309
0.750 0.046 0.691
0.750 0.435 0.831
0.750 0.161 0.085
0.750 0.681 0.504
0.250 0.839 0.915
0.250 0.565 0.169
0.250 0.319 0.496

---

Record 5
Ta2Si2Os | Alexandria | PBE-GGA | relaxed; calculated total energy = -96.70 eV for the cell shown; crystal system = tetragonal; raw formation energy = -0.514 eV per atom; magnetization = 0.0000 μB per atom
1.0
6.095 0.000 0.000
0.000 6.095 0.000
0.000 0.000 4.114
Ta Si Os
4 4 2
Direct
0.660 0.840 0.500
0.340 0.160 0.500
0.840 0.340 0.500
0.160 0.660 0.500
0.863 0.637 0.000
0.137 0.363 0.000
0.637 0.137 0.000
0.363 0.863 0.000
0.000 0.000 0.000
0.500 0.500 0.000

---

Record 6
KRe2Te | Alexandria | PBE-GGA | relaxed; calculated total energy = -23.61 eV for the cell shown; crystal system = cubic; raw formation energy = 1.381 eV per atom; magnetization = 0.0002 μB per atom
1.0
4.774 0.000 0.000
2.387 4.134 0.000
2.387 1.378 3.898
K Te Re
1 1 2
Direct
0.500 0.500 0.500
0.750 0.750 0.750
0.250 0.250 0.250
0.000 0.000 0.000

---

Record 7
Os4Rh | Alexandria | PBE-GGA | relaxed; calculated total energy = -51.04 eV for the cell shown; energy of formation from the pure elements = 119 kJ/mol of formula units; crystal system = orthorhombic; offset from the most stable computed form = 0.1365 eV per atom; magnetization = 0.0000 μB per atom
1.0
-0.878 -2.586 0.112
-0.835 0.096 -4.314
7.000 0.549 0.896
Os Rh
4 1
Direct
0.878 0.689 0.377
0.122 0.311 0.623
0.754 0.877 0.754
0.246 0.123 0.246
0.000 0.500 0.000

---

Record 8
PaInCu4 | Alexandria | PBE-GGA | relaxed; calculated total energy = -28.58 eV for the cell shown; energy of formation from the pure elements = 4 kJ/mol of formula units; crystal system = cubic; magnetization = 0.2248 μB per atom
1.0
-0.943 -1.549 -4.851
3.870 -1.767 -2.953
0.248 -5.030 -1.207
Cu In Pa
4 1 1
Direct
0.625 0.625 0.625
0.125 0.625 0.625
0.625 0.125 0.625
0.625 0.625 0.125
0.000 0.000 0.000
0.250 0.250 0.250

---

Record 9
ZrBiPd | Alexandria | PBE-GGA | relaxed; calculated total energy = -18.75 eV for the cell shown; energy of formation from the pure elements = -109 kJ/mol of formula units; crystal system = tetragonal; magnetization = 0.0001 μB per atom
1.0
-0.628 -3.147 1.183
3.332 -0.742 -0.205
-0.607 3.810 4.866
Bi Pd Zr
1 1 1
Direct
0.610 0.610 0.219
0.933 0.933 0.866
0.308 0.308 0.615

---

Record 10
TmRh6C | Alexandria | PBE-GGA | relaxed; calculated total energy = -58.66 eV for the cell shown; energy of formation from the pure elements = -82 kJ/mol of formula units; crystal system = trigonal; magnetization = 0.0000 μB per atom
1.0
5.501 0.000 0.000
2.750 4.764 0.000
2.750 1.588 4.819
Rh Tm C
6 1 1
Direct
0.427 0.905 0.762
0.095 0.573 0.238
0.905 0.427 0.762
0.573 0.095 0.238
0.095 0.095 0.238
0.905 0.905 0.762
0.500 0.500 0.500
0.000 0.000 0.000

---

Record 11
ZrBeTc | Alexandria | PBE-GGA | relaxed; calculated total energy = -22.31 eV for the cell shown; energy of formation from the pure elements = 31 kJ/mol of formula units; crystal system = cubic; offset from the most stable computed form = 0.3945 eV per atom; magnetization = 0.0000 μB per atom
1.0
4.082 0.000 0.000
2.041 3.535 0.000
2.041 1.178 3.333
Tc Zr Be
1 1 1
Direct
0.000 0.000 0.000
0.500 0.500 0.500
0.750 0.750 0.750

---

Record 12
BaFe3W | Alexandria | PBE-GGA | relaxed; calculated total energy = -34.74 eV for the cell shown; energy of formation from the pure elements = 533 kJ/mol of formula units; crystal system = cubic; offset from the most stable computed form = 0.0000 eV per atom; magnetization = 1.2593 μB per atom
1.0
4.791 0.000 0.000
0.000 4.791 0.000
0.000 0.000 4.791
Fe W Ba
3 1 1
Direct
0.000 0.500 0.000
0.500 0.000 0.000
0.000 0.000 0.500
0.000 0.000 0.000
0.500 0.500 0.500

---

Question: Number 7 is which compound?
Answer: Os4Rh

---

Copy entry 6 word for word.
KRe2Te | Alexandria | PBE-GGA | relaxed; calculated total energy = -23.61 eV for the cell shown; crystal system = cubic; raw formation energy = 1.381 eV per atom; magnetization = 0.0002 μB per atom
1.0
4.774 0.000 0.000
2.387 4.134 0.000
2.387 1.378 3.898
K Te Re
1 1 2
Direct
0.500 0.500 0.500
0.750 0.750 0.750
0.250 0.250 0.250
0.000 0.000 0.000

---

Question: What is the formula in the fourth record?
Answer: Pm3PrS6